[1]
## SmVC (GGA-PBE)

Data for an optimized crystal structure of SmVC.

The structure in POSCAR format:
```
SmVC
1.0
-2.0644 -0.9783 3.2100
4.5882 -3.0480 2.0218
3.0807 7.4594 4.2545
C Sm V
4 4 4
direct
0.2500 0.3052 0.5641
0.2500 0.1948 0.0641
0.7500 0.8052 0.9359
0.7500 0.6948 0.4359
0.7500 0.5555 0.1707
0.2500 0.0555 0.3293
0.7500 0.9445 0.6707
0.2500 0.4445 0.8293
0.7500 0.1095 0.0362
0.2500 0.8905 0.9638
0.2500 0.6095 0.4638
0.7500 0.3905 0.5362
```

Values from the calculation:
As for the formation energy: -0.037 eV/atom. Its excess energy over the best structure of this formula in the dataset is 0.000 eV per atom.



[2]
## TmPuCu2 (GGA-PBE)

Data for an optimized crystal structure of TmPuCu2.

The structure in POSCAR format:
```
TmPuCu2
1.0
3.3859 0.0000 0.0000
0.0000 3.3859 0.0000
0.0000 0.0000 7.0786
Cu Pu Tm
2 1 1
direct
0.0000 0.0000 0.7315
0.0000 0.0000 0.2685
0.5000 0.5000 0.0000
0.5000 0.5000 0.5000
```

Values from the calculation:
As for the formation energy: -0.090 eV/atom. Its excess energy over the best structure of this formula in the dataset is 0.000 eV per atom.



[3]
## Dy12Ho7Sc (GGA-PBE)

Data for an optimized crystal structure of Dy12Ho7Sc.

The structure in POSCAR format:
```
Dy12Ho7Sc
1.0
-2.3349 0.4348 5.5706
-9.2655 -2.6718 -5.8695
7.5637 -8.2227 1.6178
Ho Dy Sc
7 12 1
direct
0.1189 0.7584 0.0013
0.3605 0.2429 0.2416
0.8811 0.2416 0.9987
0.8824 0.0013 0.2429
0.5000 0.0000 0.0000
0.6395 0.7571 0.7584
0.1176 0.9987 0.7571
0.9343 0.3539 0.3526
0.0858 0.1709 0.5862
0.5804 0.9987 0.6461
0.0852 0.5847 0.1709
0.5818 0.6474 0.0013
0.5004 0.5862 0.4153
0.4996 0.4138 0.5847
0.4182 0.3526 0.9987
0.9148 0.4153 0.8291
0.4196 0.0013 0.3539
0.0657 0.6461 0.6474
0.9142 0.8291 0.4138
0.0000 0.0000 0.0000
```

Values from the calculation:
As for the formation energy: 0.247 eV/atom. Its excess energy over the best structure of this formula in the dataset is 0.007 eV per atom.



[4]
## Th2BeSiPd6 (GGA-PBE)

Data for an optimized crystal structure of Th2BeSiPd6.

The structure in POSCAR format:
```
Th2BeSiPd6
1.0
-6.8550 0.8891 1.6085
-1.4794 -4.5000 -3.4343
-4.9885 -4.5393 2.7346
Pd Th Si Be
6 2 1 1
direct
0.2536 0.7450 0.0738
0.2524 0.2424 0.4733
0.7476 0.7576 0.5267
0.2416 0.2508 0.0337
0.7464 0.2550 0.9262
0.7584 0.7492 0.9663
0.7179 0.2811 0.4676
0.2821 0.7189 0.5324
0.0000 0.0000 0.0000
0.5000 0.5000 0.0000
```

Values from the calculation:
The total energy comes out at -6.218 eV/atom.



[5]
## AlRu3 (GGA-PBE)

Data for an optimized crystal structure of AlRu3.

The structure in POSCAR format:
```
AlRu3
1.0
4.6880 0.0011 -0.0043
3.8758 2.6373 -0.0043
0.7840 0.2415 4.5279
Ru Al
3 1
direct
0.7542 0.7542 0.7499
0.2458 0.2458 0.2501
0.5000 0.5000 0.5000
0.0000 0.0000 0.0000
```

Values from the calculation:
As for the formation energy: -0.151 eV/atom.



[6]
## BeZnBr2 (GGA-PBE)

Data for an optimized crystal structure of BeZnBr2.

The structure in POSCAR format:
```
BeZnBr2
1.0
7.0406 0.0000 0.0000
0.0000 7.0406 0.0000
3.5203 3.5203 4.6238
Br Be Zn
4 2 2
direct
0.3750 0.5210 0.7500
0.4790 0.1250 0.2500
0.8750 0.7290 0.7500
0.2710 0.6250 0.2500
0.2500 0.7500 0.5000
0.5000 0.5000 0.0000
0.7500 0.2500 0.5000
0.0000 0.0000 0.0000
```

Values from the calculation:
Its excess energy over the best structure of this formula in the dataset is 0.011 eV per atom.



[7]
## SrCa2N (GGA-PBE)

Data for an optimized crystal structure of SrCa2N.

The structure in POSCAR format:
```
SrCa2N
1.0
-0.8754 -0.9802 -3.4977
4.3729 -4.3010 0.1110
-5.8189 -9.5769 6.1359
Ca Sr N
4 2 2
direct
0.7998 0.0391 0.5996
0.3015 0.5384 0.6029
0.2002 0.9609 0.4004
0.6985 0.4616 0.3971
0.5527 0.2033 0.1054
0.4473 0.7967 0.8946
0.2502 0.2527 0.5004
0.7498 0.7473 0.4996
```

Values from the calculation:
The total energy comes out at -3.888 eV/atom.



[8]
## PmPr8Cd6 (GGA-PBE)

Data for an optimized crystal structure of PmPr8Cd6.

The structure in POSCAR format:
```
PmPr8Cd6
1.0
-6.0690 6.2450 3.1844
-1.9278 0.3894 9.0611
2.2439 6.5449 4.9401
Pr Cd Pm
8 6 1
direct
0.6662 0.6662 0.0013
0.1173 0.4538 0.6453
0.8827 0.5462 0.3547
0.2164 0.8827 0.3547
0.3338 0.3338 0.9987
0.4538 0.7836 0.6453
0.7836 0.1173 0.6453
0.5462 0.2164 0.3547
0.3793 0.0488 0.8534
0.0488 0.7184 0.8534
0.6207 0.9512 0.1466
0.9512 0.2816 0.1466
0.2816 0.6207 0.1466
0.7184 0.3793 0.8534
0.0000 0.0000 0.0000
```

Values from the calculation:
As for the formation energy: -0.098 eV/atom.



[9]
## Tb2ThZr3N6 (GGA-PBE)

Data for an optimized crystal structure of Tb2ThZr3N6.

The structure in POSCAR format:
```
Tb2ThZr3N6
1.0
5.8625 -0.0054 0.0019
-2.9345 5.0752 0.0019
-0.9748 -1.6879 5.6094
Tb Zr Th N
2 3 1 6
direct
0.6668 0.3332 0.0000
0.3332 0.6668 0.0000
0.8301 0.1699 0.5000
0.5000 0.5000 0.5000
0.1699 0.8301 0.5000
0.0000 0.0000 0.0000
0.9097 0.5748 0.7282
0.2449 0.2449 0.7306
0.7551 0.7551 0.2694
0.5748 0.9097 0.7282
0.0903 0.4252 0.2718
0.4252 0.0903 0.2718
```

Values from the calculation:
The total energy comes out at -9.345 eV/atom.



[10]
## Ac3Sm12Tm (GGA-PBE)

Data for an optimized crystal structure of Ac3Sm12Tm.

The structure in POSCAR format:
```
Ac3Sm12Tm
1.0
-0.5188 4.6307 -2.3361
-1.5446 -2.3791 -4.3730
-19.7919 1.0275 6.4319
Sm Ac Tm
12 3 1
direct
0.5000 0.0000 0.1190
0.5000 0.0000 0.8810
0.5000 0.5000 0.7542
0.0000 0.5000 0.6266
0.5000 0.0000 0.6266
0.5000 0.5000 0.5000
0.0000 0.5000 0.1190
0.5000 0.5000 0.2458
0.5000 0.0000 0.3734
0.0000 0.5000 0.8810
0.5000 0.5000 0.0000
0.0000 0.5000 0.3734
0.0000 0.0000 0.7532
0.0000 0.0000 0.5000
0.0000 0.0000 0.2468
0.0000 0.0000 0.0000
```

Values from the calculation:
As for the formation energy: 0.035 eV/atom.



[11]
## Er2TaRu3 (GGA-PBE)

Data for an optimized crystal structure of Er2TaRu3.

The structure in POSCAR format:
```
Er2TaRu3
1.0
-1.6712 -0.4341 4.3157
5.1896 -3.0404 4.2071
2.3287 6.0671 1.5120
Ru Er Ta
6 4 2
direct
0.1727 0.6546 0.7721
0.8273 0.3454 0.7721
0.5000 0.0000 0.2336
0.8273 0.3454 0.2279
0.1727 0.6546 0.2279
0.5000 0.0000 0.7664
0.0000 0.0000 0.0000
0.3341 0.3319 0.5000
0.0000 0.0000 0.5000
0.6659 0.6681 0.5000
0.3323 0.3354 0.0000
0.6677 0.6646 0.0000
```

Values from the calculation:
As for the formation energy: -0.476 eV/atom.



Number 5 is which compound?
AlRu3



Which formula does entry 8 have?
PmPr8Cd6